Entry 1:
The following is a PBE-GGA calculation of a geometry-optimized PmTm7 structure, from Alexandria.

Computed properties:
The crystal system is cubic.

CIF file:
```
data_PmTm7
_chemical_formula_sum 'Pm4 Tm28'
_space_group_name_H-M_alt 'F m -3 m'
_space_group_IT_number 225
_space_group_name_Hall '-F 4 2 3'
_cell_length_a 9.909
_cell_length_b 9.909
_cell_length_c 9.909
_cell_angle_alpha 90.00
_cell_angle_beta 90.00
_cell_angle_gamma 90.00
loop_
_atom_site_label
_atom_site_type_symbol
_atom_site_fract_x
_atom_site_fract_y
_atom_site_fract_z
Pm1 Pm 0.000 0.000 0.000
Tm1 Tm 0.000 0.000 0.500
Tm2 Tm 0.000 0.250 0.250
```

***

Entry 2:
The following is a PBE-GGA calculation of a geometry-optimized Pm3Tm4 structure, from Alexandria.

Computed properties:
The crystal system is orthorhombic.

CIF file:
```
data_Pm3Tm4
_chemical_formula_sum 'Pm6 Tm8'
_space_group_name_H-M_alt 'I m m m'
_space_group_IT_number 71
_space_group_name_Hall '-I 2 2'
_cell_length_a 3.564
_cell_length_b 5.004
_cell_length_c 24.959
_cell_angle_alpha 90.00
_cell_angle_beta 90.00
_cell_angle_gamma 90.00
loop_
_atom_site_label
_atom_site_type_symbol
_atom_site_fract_x
_atom_site_fract_y
_atom_site_fract_z
Pm1 Pm 0.000 0.000 0.000
Pm2 Pm 0.000 0.000 0.143
Tm1 Tm 0.000 0.000 0.285
Tm2 Tm 0.000 0.000 0.428
```

***

Entry 3:
The following is a PBE-GGA calculation of a geometry-optimized Pm4Tm structure, from Alexandria.

Computed properties:
The crystal system is cubic.

CIF file:
```
data_Pm4Tm
_chemical_formula_sum 'Pm4 Tm1'
_space_group_name_H-M_alt 'P m -3 m'
_space_group_IT_number 221
_space_group_name_Hall '-P 4 2 3'
_cell_length_a 5.785
_cell_length_b 5.785
_cell_length_c 5.785
_cell_angle_alpha 90.00
_cell_angle_beta 90.00
_cell_angle_gamma 90.00
loop_
_atom_site_label
_atom_site_type_symbol
_atom_site_fract_x
_atom_site_fract_y
_atom_site_fract_z
Pm1 Pm 0.000 0.000 0.000
Pm2 Pm 0.000 0.500 0.500
Tm1 Tm 0.500 0.500 0.500
```

***

Computed DOS at the Fermi energy (states/eV/atom) in order:
1.52, 1.36, 1.51
Computed E (Ha/atom) in order:
-0.165, -0.168, -0.149
Computed mass density (Mg/m³) in order:
9.063, 8.287, 6.423